No. 1
BaF | PBE | relaxed

Values from the calculation:
uncorrected formation energy = -5.641 eV/f.u.

abc: 7.9982 7.6928 6.5370
angles: 67.84 62.97 49.19
Last column: nearest neighbours and their distance in Å.
Atoms (fractional coordinates):
Ba  0.0997  0.6503  0.0997  4 F 2.70-2.71
Ba  0.3497  0.9003  0.3497  4 F 2.70-2.71
Ba  0.6503  0.0997  0.6503  4 F 2.70-2.71
Ba  0.9003  0.3497  0.9003  4 F 2.70-2.71
F  0.0012  0.0012  0.7488  4 Ba 2.70-2.71
F  0.2512  0.2512  0.9988  4 Ba 2.70-2.71
F  0.7488  0.7488  0.0012  4 Ba 2.70-2.71
F  0.9988  0.9988  0.2512  4 Ba 2.70-2.71

***

No. 2
ThTiV4 | PBE | relaxed

Values from the calculation:
formation energy = 0.119 eV/atom

abc: 5.2097 5.2097 5.2097
angles: 60.00 60.00 60.00
Last column: nearest neighbours and their distance in Å.
Atoms (fractional coordinates):
Th  0.0000  0.0000  0.0000  12 V 3.06, 4 Ti 3.19
Ti  0.7500  0.7500  0.7500  12 V 3.05, 4 Th 3.19
V  0.3755  0.3755  0.3755  6 V 2.59-2.61
V  0.3755  0.3755  0.8736  6 V 2.59-2.61
V  0.3755  0.8736  0.3755  6 V 2.59-2.61
V  0.8736  0.3755  0.3755  6 V 2.59-2.61

***

Density values, unit Mg/m³, following the record order: 3.86 8.03.
Magnetic moment values, unit μB per cell, following the record order: 0.0 0.0.
DOS(E_F) values, unit states/eV/cell, following the record order: 4.22 6.33.